[1]
Here is SrCoRe4 after structural relaxation from Alexandria via LeMat-Bulk. Energies are from PBE.

Summary:
* DOS(E_F): 7.09 states/eV/f.u.
* calculated volume: 17.87 Å³ per atom
* symmetry: F-43m, No. 216
* E_form: 74.6 kJ/mol of atoms

Unit cell a=5.333 b=5.333 c=5.333 alpha=60.00 beta=60.00 gamma=60.00
Fractional coordinates of all 6 atoms:
Sr 0.000 0.000 0.000
Co 0.750 0.750 0.750
Re 0.376 0.376 0.376
Re 0.376 0.376 0.873
Re 0.376 0.873 0.376
Re 0.873 0.376 0.376



[2]
Here is SrCoRe2 after structural relaxation from Alexandria via LeMat-Bulk. Energies are from PBE.

Summary:
* DOS(E_F): 4.71 states/eV/f.u.
* calculated volume: 17.25 Å³ per atom
* symmetry: C2/m, No. 12
* E_form: 98.9 kJ/mol of atoms
* energy relative to the lowest polymorph listed for this composition: 482 meV per atom

Unit cell a=5.370 b=10.139 c=2.691 alpha=90.00 beta=109.63 gamma=90.00
Fractional coordinates of all 8 atoms:
Sr 0.000 0.000 0.000
Sr 0.500 0.500 0.000
Co 0.000 0.500 0.000
Co 0.500 0.000 0.000
Re 0.250 0.250 0.500
Re 0.250 0.750 0.500
Re 0.750 0.250 0.500
Re 0.750 0.750 0.500



[3]
Here is SrCoRe after structural relaxation from Alexandria via LeMat-Bulk. Energies are from PBE.

Summary:
* DOS(E_F): 1.74 states/eV/f.u.
* calculated volume: 20.52 Å³ per atom
* symmetry: Cm, No. 8
* E_form: 32.6 kJ/mol of atoms
* energy relative to the lowest polymorph listed for this composition: 59 meV per atom

Unit cell a=11.364 b=4.241 c=5.115 alpha=90.00 beta=92.47 gamma=90.00
Fractional coordinates of all 12 atoms:
Sr 0.000 0.000 0.000
Sr 0.056 0.500 0.504
Sr 0.500 0.500 0.000
Sr 0.556 0.000 0.504
Co 0.242 0.500 0.011
Co 0.278 0.000 0.239
Co 0.742 0.000 0.011
Co 0.778 0.500 0.239
Re 0.281 0.000 0.755
Re 0.317 0.500 0.486
Re 0.781 0.500 0.755
Re 0.817 0.000 0.486



[4]
Here is SrCo2Re after structural relaxation from Alexandria via LeMat-Bulk. Energies are from PBE.

Summary:
* DOS(E_F): 5.23 states/eV/f.u.
* calculated volume: 16.24 Å³ per atom
* symmetry: Imm2, No. 44
* E_form: 76.3 kJ/mol of atoms
* energy relative to the lowest polymorph listed for this composition: 512 meV per atom

Unit cell a=2.729 b=4.750 c=10.021 alpha=90.00 beta=90.00 gamma=90.00
Fractional coordinates of all 8 atoms:
Sr 0.000 0.000 0.000
Sr 0.500 0.500 0.500
Co 0.000 0.000 0.492
Co 0.000 0.500 0.783
Co 0.500 0.000 0.283
Co 0.500 0.500 0.992
Re 0.000 0.500 0.209
Re 0.500 0.000 0.709



[5]
Here is SrCo2Re after structural relaxation from Alexandria via LeMat-Bulk. Energies are from PBE.

Summary:
* DOS(E_F): 4.70 states/eV/f.u.
* calculated volume: 16.82 Å³ per atom
* symmetry: Pmmm, No. 47
* E_form: 43.9 kJ/mol of atoms
* energy relative to the lowest polymorph listed for this composition: 176 meV per atom

Unit cell a=2.852 b=3.265 c=7.224 alpha=90.00 beta=90.00 gamma=90.00
Fractional coordinates of all 4 atoms:
Sr 0.000 0.000 0.000
Co 0.500 0.500 0.323
Co 0.500 0.500 0.677
Re 0.000 0.000 0.500



[6]
Here is SrCoRe2 after structural relaxation from Alexandria via LeMat-Bulk. Energies are from PBE.

Summary:
* DOS(E_F): 4.17 states/eV/f.u.
* calculated volume: 17.46 Å³ per atom
* symmetry: Cmmm, No. 65
* E_form: 109.5 kJ/mol of atoms
* energy relative to the lowest polymorph listed for this composition: 591 meV per atom

Unit cell a=5.343 b=9.963 c=2.624 alpha=90.00 beta=90.00 gamma=90.00
Fractional coordinates of all 8 atoms:
Sr 0.000 0.000 0.000
Sr 0.500 0.500 0.000
Co 0.000 0.500 0.000
Co 0.500 0.000 0.000
Re 0.250 0.250 0.500
Re 0.250 0.750 0.500
Re 0.750 0.250 0.500
Re 0.750 0.750 0.500



[7]
Here is SrCo2Re after structural relaxation from Alexandria via LeMat-Bulk. Energies are from PBE.

Summary:
* DOS(E_F): 5.49 states/eV/f.u.
* calculated volume: 15.90 Å³ per atom
* symmetry: P4/mmm, No. 123
* E_form: 78.0 kJ/mol of atoms
* energy relative to the lowest polymorph listed for this composition: 530 meV per atom

Unit cell a=4.757 b=4.757 c=2.811 alpha=90.00 beta=90.00 gamma=90.00
Fractional coordinates of all 4 atoms:
Sr 0.000 0.000 0.000
Co 0.000 0.500 0.500
Co 0.500 0.000 0.500
Re 0.500 0.500 0.000



[8]
Here is SrCo2Re after structural relaxation from Alexandria via LeMat-Bulk. Energies are from PBE.

Summary:
* DOS(E_F): 4.58 states/eV/f.u.
* calculated volume: 18.33 Å³ per atom
* symmetry: Pm, No. 6
* E_form: 62.3 kJ/mol of atoms
* energy relative to the lowest polymorph listed for this composition: 367 meV per atom

Unit cell a=3.105 b=4.067 c=5.961 alpha=90.00 beta=103.03 gamma=90.00
Fractional coordinates of all 4 atoms:
Sr 0.000 0.000 0.000
Co 0.619 0.500 0.266
Co 0.646 0.000 0.511
Re 0.248 0.500 0.558



[9]
Here is SrCo2Re after structural relaxation from Alexandria via LeMat-Bulk. Energies are from PBE.

Summary:
* DOS(E_F): 6.94 states/eV/f.u.
* calculated volume: 15.86 Å³ per atom
* symmetry: F-43m, No. 216
* E_form: 119.9 kJ/mol of atoms
* energy relative to the lowest polymorph listed for this composition: 963 meV per atom

Unit cell a=6.331 b=6.331 c=6.331 alpha=90.00 beta=90.00 gamma=90.00
Fractional coordinates of all 16 atoms:
Sr 0.000 0.000 0.000
Sr 0.000 0.500 0.500
Sr 0.500 0.000 0.500
Sr 0.500 0.500 0.000
Co 0.000 0.000 0.500
Co 0.000 0.500 0.000
Co 0.250 0.250 0.750
Co 0.250 0.750 0.250
Co 0.500 0.000 0.000
Co 0.500 0.500 0.500
Co 0.750 0.250 0.250
Co 0.750 0.750 0.750
Re 0.250 0.250 0.250
Re 0.250 0.750 0.750
Re 0.750 0.250 0.750
Re 0.750 0.750 0.250



[10]
Here is SrCoRe after structural relaxation from Alexandria via LeMat-Bulk. Energies are from PBE.

Summary:
* DOS(E_F): 3.08 states/eV/f.u.
* calculated volume: 24.98 Å³ per atom
* symmetry: C2/m, No. 12
* E_form: 30.4 kJ/mol of atoms
* energy relative to the lowest polymorph listed for this composition: 36 meV per atom

Unit cell a=7.102 b=4.097 c=10.582 alpha=90.00 beta=103.21 gamma=90.00
Fractional coordinates of all 12 atoms:
Sr 0.230 0.000 0.196
Sr 0.270 0.500 0.804
Sr 0.730 0.500 0.196
Sr 0.770 0.000 0.804
Co 0.039 0.000 0.613
Co 0.461 0.500 0.387
Co 0.539 0.500 0.613
Co 0.961 0.000 0.387
Re 0.149 0.500 0.448
Re 0.351 0.000 0.552
Re 0.649 0.000 0.448
Re 0.851 0.500 0.552



[11]
Here is SrCo2Re after structural relaxation from Alexandria via LeMat-Bulk. Energies are from PBE.

Summary:
* DOS(E_F): 5.35 states/eV/f.u.
* calculated volume: 19.97 Å³ per atom
* symmetry: R-3m, No. 166
* E_form: 26.9 kJ/mol of atoms
* energy relative to the lowest polymorph listed for this composition: 0 meV per atom

Unit cell a=4.109 b=4.109 c=16.386 alpha=90.00 beta=90.00 gamma=120.00
Fractional coordinates of all 12 atoms:
Sr 0.000 0.000 0.000
Sr 0.333 0.667 0.667
Sr 0.667 0.333 0.333
Co 0.000 0.000 0.191
Co 0.000 0.000 0.809
Co 0.333 0.667 0.475
Co 0.333 0.667 0.858
Co 0.667 0.333 0.142
Co 0.667 0.333 0.525
Re 0.000 0.000 0.500
Re 0.333 0.667 0.167
Re 0.667 0.333 0.833



[12]
Here is SrCoRe after structural relaxation from Alexandria via LeMat-Bulk. Energies are from PBE.

Summary:
* DOS(E_F): 6.43 states/eV/f.u.
* calculated volume: 24.71 Å³ per atom
* symmetry: F-43m, No. 216
* E_form: 232.6 kJ/mol of atoms
* energy relative to the lowest polymorph listed for this composition: 2132 meV per atom

Unit cell a=6.669 b=6.669 c=6.669 alpha=90.00 beta=90.00 gamma=90.00
Fractional coordinates of all 12 atoms:
Sr 0.000 0.000 0.000
Sr 0.000 0.500 0.500
Sr 0.500 0.000 0.500
Sr 0.500 0.500 0.000
Co 0.250 0.250 0.750
Co 0.250 0.750 0.250
Co 0.750 0.250 0.250
Co 0.750 0.750 0.750
Re 0.250 0.250 0.250
Re 0.250 0.750 0.750
Re 0.750 0.250 0.750
Re 0.750 0.750 0.250



- The lowest E_form belongs to which entry?
  number 11



- Among the records above, which one has the highest DOS(E_F)?
  SrCoRe4